Record 1
This record from the Alexandria database describes a relaxed structure of TlIn6Bi2. The functional is PBE.

The structure belongs to space group P4_2/mnm (No. 136); the cell edges are 10.255, 10.255 and 5.023 Å and the angles 90.00°, 90.00° and 90.00°. Symmetry generates all atoms from Tl at (0.000, 0.000, 0.000), In at (0.005, 0.336, 0.000), In at (0.161, 0.839, 0.500) and Bi at (0.176, 0.176, 0.500).

The total moment comes out at 0.00 μB/cell. The calculation puts the formation energy at 0.0238 eV per atom. For the total energy, the calculation gives -0.21514 Ry/atom.

Record 2
This record from the Alexandria database describes a relaxed structure of TlIn5Bi3. The functional is PBE.

The structure belongs to space group P6_3/mcm (No. 193); the cell edges are 9.5502, 9.5502 and 6.8192 Å and the angles 90.00°, 90.00° and 120.00°. Symmetry generates all atoms from Tl at (0.0000, 0.0000, 0.0000), In at (0.0000, 0.3325, 0.2500), In at (0.3333, 0.6667, 0.0000) and Bi at (0.0000, 0.3374, 0.7500).

The total moment comes out at 0.00 μB/cell. The calculation puts the formation energy at 0.0047 eV per atom. For the total energy, the calculation gives -0.22588 Ry/atom.

Record 3
This record from the Alexandria database describes a relaxed structure of Tl2In6Bi. The functional is PBE.

The structure belongs to space group P-62m (No. 189); the cell edges are 9.4976, 9.4976 and 3.3594 Å and the angles 90.00°, 90.00° and 120.00°. Symmetry generates all atoms from Tl at (0.3333, 0.6667, 0.0000), In at (0.0000, 0.3140, 0.0000), In at (0.0000, 0.6464, 0.5000) and Bi at (0.0000, 0.0000, 0.5000).

The total moment comes out at 0.00 μB/cell. The calculation puts the formation energy at 0.0298 eV per atom. For the total energy, the calculation gives -0.20233 Ry/atom.

Record 4
This record from the Alexandria database describes a relaxed structure of Tl2In2Bi. The functional is PBE.

The structure belongs to space group P4/mbm (No. 127); the cell edges are 8.072, 8.072 and 4.881 Å and the angles 90.00°, 90.00° and 90.00°. Symmetry generates all atoms from Tl at (0.172, 0.328, 0.000), In at (0.133, 0.633, 0.500) and Bi at (0.000, 0.000, 0.500).

The total moment comes out at 0.00 μB/cell. The calculation puts the formation energy at 0.0354 eV per atom. For the total energy, the calculation gives -0.20453 Ry/atom.

Record 5
This record from the Alexandria database describes a relaxed structure of TlIn3Bi3. The functional is PBE.

The structure belongs to space group Pm-3n (No. 223); the cell edges are 8.425, 8.425 and 8.425 Å and the angles 90.00°, 90.00° and 90.00°. Symmetry generates all atoms from Tl at (0.000, 0.000, 0.000), In at (0.000, 0.250, 0.500) and Bi at (0.000, 0.500, 0.250).

The total moment comes out at 0.00 μB/cell. The calculation puts the formation energy at 0.1809 eV per atom. For the total energy, the calculation gives -0.22006 Ry/atom.

Record 6
This record from the Alexandria database describes a relaxed structure of Tl3In5Bi2. The functional is PBE.

The structure belongs to space group Ibam (No. 72); the cell edges are 7.856, 24.670 and 6.541 Å and the angles 90.00°, 90.00° and 90.00°. Symmetry generates all atoms from Tl at (0.000, 0.000, 0.250), Tl at (0.143, 0.364, 0.000), In at (0.000, 0.171, 0.250), In at (0.000, 0.500, 0.250), In at (0.176, 0.271, 0.500) and Bi at (0.250, 0.085, 0.000).

The total moment comes out at 0.00 μB/cell. The calculation puts the formation energy at 0.0413 eV per atom. For the total energy, the calculation gives -0.20682 Ry/atom.

Record 7
This record from the Alexandria database describes a relaxed structure of TlIn15Bi4. The functional is PBE.

The structure belongs to space group P4/mmm (No. 123); the cell edges are 5.075, 5.075 and 22.403 Å and the angles 90.00°, 90.00° and 90.00°. Symmetry generates all atoms from Tl at (0.000, 0.000, 0.000), In at (0.000, 0.500, 0.098), In at (0.000, 0.500, 0.297), In at (0.000, 0.500, 0.500), In at (0.500, 0.500, 0.000), In at (0.500, 0.500, 0.200), In at (0.500, 0.500, 0.400), Bi at (0.000, 0.000, 0.192) and Bi at (0.000, 0.000, 0.396).

The total moment comes out at 0.00 μB/cell. The calculation puts the formation energy at 0.0127 eV per atom. For the total energy, the calculation gives -0.21577 Ry/atom.

Record 8
This record from the Alexandria database describes a relaxed structure of Tl4InBi4. The functional is PBE.

The structure belongs to space group I4/m (No. 87); the cell edges are 10.392, 10.392 and 5.341 Å and the angles 90.00°, 90.00° and 90.00°. Symmetry generates all atoms from Tl at (0.000, 0.324, 0.000), In at (0.000, 0.000, 0.000) and Bi at (0.157, 0.842, 0.500).

The total moment comes out at 0.00 μB/cell. The calculation puts the formation energy at 0.0181 eV per atom. For the total energy, the calculation gives -0.22511 Ry/atom.

Record 9
This record from the Alexandria database describes a relaxed structure of TlIn6Bi2. The functional is PBE.

The structure belongs to space group P4/mmm (No. 123); the cell edges are 5.031, 5.031 and 11.347 Å and the angles 90.00°, 90.00° and 90.00°. Symmetry generates all atoms from Tl at (0.000, 0.000, 0.000), In at (0.000, 0.000, 0.500), In at (0.000, 0.500, 0.312), In at (0.500, 0.500, 0.500) and Bi at (0.500, 0.500, 0.139).

The total moment comes out at 0.00 μB/cell. The calculation puts the formation energy at 0.0577 eV per atom. For the total energy, the calculation gives -0.21265 Ry/atom.

Record 10
This record from the Alexandria database describes a relaxed structure of Tl12In6Bi. The functional is PBE.

The structure belongs to space group R-3 (No. 148, hexagonal axes); the cell edges are 11.7915, 11.7915 and 14.7457 Å and the angles 90.00°, 90.00° and 120.00°. Symmetry generates all atoms from Tl at (0.0459, 0.1865, 0.3045), Tl at (0.0671, 0.8354, 0.9182), In at (0.0278, 0.4430, 0.2056) and Bi at (0.0000, 0.0000, 0.5000).

The total moment comes out at 0.00 μB/cell. The calculation puts the formation energy at 0.0353 eV per atom. For the total energy, the calculation gives -0.18582 Ry/atom.

Record 11
This record from the Alexandria database describes a relaxed structure of Tl5InBi4. The functional is PBE.

The structure belongs to space group P4/mmm (No. 123); the cell edges are 3.502, 3.502 and 25.422 Å and the angles 90.00°, 90.00° and 90.00°. Symmetry generates all atoms from Tl at (0.000, 0.000, 0.000), Tl at (0.000, 0.000, 0.204), Tl at (0.000, 0.000, 0.405), In at (0.500, 0.500, 0.500), Bi at (0.500, 0.500, 0.100) and Bi at (0.500, 0.500, 0.307).

The total moment comes out at 0.00 μB/cell. The calculation puts the formation energy at 0.0056 eV per atom. For the total energy, the calculation gives -0.22077 Ry/atom.

Record 12
This record from the Alexandria database describes a relaxed structure of TlInBi2. The functional is PBE.

The structure belongs to space group R-3m (No. 166, hexagonal axes); the cell edges are 4.4571, 4.4571 and 22.7616 Å and the angles 90.00°, 90.00° and 120.00°. Symmetry generates all atoms from Tl at (0.0000, 0.0000, 0.0000), In at (0.0000, 0.0000, 0.5000) and Bi at (0.0000, 0.0000, 0.2433).

The total moment comes out at 0.00 μB/cell. The calculation puts the formation energy at 0.1103 eV per atom. For the total energy, the calculation gives -0.22831 Ry/atom.

Record 13
This record from the Alexandria database describes a relaxed structure of TlInBi2. The functional is PBE.

The structure belongs to space group Pmmm (No. 47); the cell edges are 3.427, 5.264 and 6.990 Å and the angles 90.00°, 90.00° and 90.00°. Symmetry generates all atoms from Tl at (0.000, 0.000, 0.000), In at (0.000, 0.000, 0.500) and Bi at (0.500, 0.500, 0.271).

The total moment comes out at 0.00 μB/cell. The calculation puts the formation energy at 0.0074 eV per atom. For the total energy, the calculation gives -0.23588 Ry/atom.

Record 14
This record from the Alexandria database describes a relaxed structure of TlIn3Bi2. The functional is PBE.

The structure belongs to space group P4/mmm (No. 123); the cell edges are 3.480, 3.480 and 14.885 Å and the angles 90.00°, 90.00° and 90.00°. Symmetry generates all atoms from Tl at (0.000, 0.000, 0.000), In at (0.500, 0.500, 0.166), In at (0.500, 0.500, 0.500) and Bi at (0.000, 0.000, 0.329).

The total moment comes out at 0.00 μB/cell. The calculation puts the formation energy at 0.0265 eV per atom. For the total energy, the calculation gives -0.22275 Ry/atom.

Record 15
This record from the Alexandria database describes a relaxed structure of Tl6In5Bi. The functional is PBE.

The structure belongs to space group C2/m (No. 12); the cell edges are 11.296, 13.970 and 4.919 Å and the angles 90.00°, 113.55° and 90.00°. Symmetry generates all atoms from Tl at (0.250, 0.000, 0.246), Tl at (0.250, 0.167, 0.750), In at (0.000, 0.167, 0.000), In at (0.000, 0.338, 0.500), In at (0.000, 0.500, 0.000) and Bi at (0.000, 0.000, 0.500).

The total moment comes out at 0.00 μB/cell. The calculation puts the formation energy at 0.0173 eV per atom. For the total energy, the calculation gives -0.19332 Ry/atom.

Record 16
This record from the Alexandria database describes a relaxed structure of Tl2InBi2. The functional is PBE.

The structure belongs to space group I4/mmm (No. 139); the cell edges are 4.777, 4.777 and 15.244 Å and the angles 90.00°, 90.00° and 90.00°. Symmetry generates all atoms from Tl at (0.000, 0.500, 0.250), In at (0.000, 0.000, 0.000) and Bi at (0.000, 0.000, 0.399).

The total moment comes out at 0.00 μB/cell. The calculation puts the formation energy at 0.1313 eV per atom. For the total energy, the calculation gives -0.21427 Ry/atom.

Record 17
This record from the Alexandria database describes a relaxed structure of TlInBi2. The functional is PBE.

The structure belongs to space group P4/mmm (No. 123); the cell edges are 4.148, 4.148 and 7.275 Å and the angles 90.00°, 90.00° and 90.00°. Symmetry generates all atoms from Tl at (0.000, 0.000, 0.000), In at (0.000, 0.000, 0.500) and Bi at (0.500, 0.500, 0.278).

The total moment comes out at 0.00 μB/cell. The calculation puts the formation energy at 0.0394 eV per atom. For the total energy, the calculation gives -0.23352 Ry/atom.

Record 18
This record from the Alexandria database describes a relaxed structure of Tl2In5Bi5. The functional is PBE.

The structure belongs to space group P-1 (No. 2); the cell edges are 5.681, 6.600 and 11.419 Å and the angles 73.58°, 75.66° and 64.64°. Symmetry generates all atoms from Tl at (0.080, 0.091, 0.250), In at (0.000, 0.500, 0.000), In at (0.163, 0.681, 0.492), In at (0.239, 0.287, 0.731), Bi at (0.323, 0.878, 0.974), Bi at (0.403, 0.456, 0.240) and Bi at (0.500, 0.000, 0.500).

The total moment comes out at 0.00 μB/cell. The calculation puts the formation energy at 0.0193 eV per atom. For the total energy, the calculation gives -0.23028 Ry/atom.

Record 19
This record from the Alexandria database describes a relaxed structure of Tl5In3Bi. The functional is PBE.

The structure belongs to space group C2/m (No. 12); the cell edges are 10.396, 9.118 and 12.743 Å and the angles 90.00°, 90.00° and 90.00°. Symmetry generates all atoms from Tl at (0.000, 0.177, 0.000), Tl at (0.003, 0.000, 0.714), Tl at (0.241, 0.000, 0.130), Tl at (0.250, 0.249, 0.667), In at (0.000, 0.500, 0.000), In at (0.000, 0.500, 0.500), In at (0.166, 0.000, 0.498), In at (0.240, 0.000, 0.870) and Bi at (0.005, 0.500, 0.262).

The total moment comes out at 0.00 μB/cell. The calculation puts the formation energy at 0.1143 eV per atom. For the total energy, the calculation gives -0.18700 Ry/atom.

Record 20
This record from the Alexandria database describes a relaxed structure of TlInBi2. The functional is PBE.

The structure belongs to space group R3m (No. 160, hexagonal axes); the cell edges are 4.1942, 4.1942 and 25.7922 Å and the angles 90.00°, 90.00° and 120.00°. Symmetry generates all atoms from Tl at (0.0000, 0.0000, 0.0000), In at (0.0000, 0.0000, 0.1669), Bi at (0.0000, 0.0000, 0.5755) and Bi at (0.0000, 0.0000, 0.7579).

The total moment comes out at 0.00 μB/cell. The calculation puts the formation energy at 0.1155 eV per atom. For the total energy, the calculation gives -0.22793 Ry/atom.